Entry from Alexandria via LeMat-Bulk: a geometry-optimized GeBi2TeI structure (PBE).

Results
E_form (uncorrected) in eV per atom: 0.8421
VASP energy in eV/atom: -2.57
Symmetry: P4/mmm (123)

Unit cell a=5.9423 b=5.8799 c=5.9423 alpha=90.00 beta=90.00 gamma=90.00
Element x y z (fractional)
I 0.0000 0.5000 0.0000
Ge 0.5000 0.5000 0.5000
Te 0.0000 0.0000 0.0000
Bi 0.0000 0.0000 0.5000
Bi 0.5000 0.0000 0.0000

Entry from Alexandria via LeMat-Bulk: a geometry-optimized GeBiTe2I structure (PBE).

Results
E_form (uncorrected) in eV per atom: 0.6132
VASP energy in eV/atom: -2.65
Energy above the most stable polymorph in this dataset in eV/f.u.: 1.40
Symmetry: P4/mmm (123)

Unit cell a=5.9902 b=5.9902 c=5.9159 alpha=90.00 beta=90.00 gamma=90.00
Element x y z (fractional)
I 0.0000 0.0000 0.5000
Ge 0.5000 0.5000 0.5000
Te 0.0000 0.5000 0.0000
Te 0.5000 0.0000 0.0000
Bi 0.0000 0.0000 0.0000

Entry from Alexandria via LeMat-Bulk: a geometry-optimized GeBiTe2I structure (PBE).

Results
E_form (uncorrected) in eV per atom: 0.3338
VASP energy in eV/atom: -2.93
Energy above the most stable polymorph in this dataset in eV/f.u.: 0.00
Symmetry: P4/mmm (123)

Unit cell a=5.5171 b=5.5171 c=5.4792 alpha=90.00 beta=90.00 gamma=90.00
Element x y z (fractional)
I 0.0000 0.0000 0.5000
Ge 0.0000 0.0000 0.0000
Te 0.0000 0.5000 0.0000
Te 0.5000 0.0000 0.0000
Bi 0.5000 0.5000 0.5000

Entry from Alexandria via LeMat-Bulk: a geometry-optimized GeBiTeI2 structure (PBE).

Results
E_form (uncorrected) in eV per atom: 0.4709
VASP energy in eV/atom: -2.48
Energy above the most stable polymorph in this dataset in eV/f.u.: 0.98
Symmetry: P4/mmm (123)

Unit cell a=6.0307 b=6.0307 c=6.1163 alpha=90.00 beta=90.00 gamma=90.00
Element x y z (fractional)
I 0.0000 0.5000 0.0000
I 0.5000 0.0000 0.0000
Ge 0.5000 0.5000 0.5000
Te 0.0000 0.0000 0.5000
Bi 0.0000 0.0000 0.0000

Entry from Alexandria via LeMat-Bulk: a geometry-optimized TlGe2BiI8 structure (PBE).

Results
E_form (uncorrected) in eV per atom: -0.3586
VASP energy in eV/atom: -2.68
Symmetry: P-1 (2)

Unit cell a=7.7019 b=7.3387 c=9.4850 alpha=86.55 beta=86.21 gamma=87.23
Element x y z (fractional)
Tl 0.0000 0.0000 0.5000
Ge 0.4713 0.4585 0.7455
Ge 0.5287 0.5415 0.2545
Bi 0.0000 0.0000 0.0000
I 0.1739 0.7431 0.2293
I 0.6708 0.7584 0.0174
I 0.8297 0.2558 0.2259
I 0.8261 0.2569 0.7707
I 0.3292 0.2416 0.9826
I 0.1703 0.7442 0.7741
I 0.6436 0.7204 0.4722
I 0.3564 0.2796 0.5278

Entry from Alexandria via LeMat-Bulk: a geometry-optimized In2GeBi structure (PBE).

Results
VASP energy in eV/atom: -3.33
Energy above the most stable polymorph in this dataset in eV/f.u.: 0.14
Symmetry: P4/mmm (123)

Unit cell a=4.4556 b=4.8927 c=4.8927 alpha=90.00 beta=90.00 gamma=90.00
Element x y z (fractional)
Ge 0.5000 0.0000 0.0000
Bi 0.5000 0.5000 0.5000
In 0.0000 0.0000 0.5000
In 0.0000 0.5000 0.0000

Entry from Alexandria via LeMat-Bulk: a geometry-optimized InGe2Bi2 structure (PBE).

Results
VASP energy in eV/atom: -3.70
Energy above the most stable polymorph in this dataset in eV/f.u.: 0.27
Symmetry: P4/mbm (127)

Unit cell a=8.6094 b=8.6094 c=3.8079 alpha=90.00 beta=90.00 gamma=90.00
Element x y z (fractional)
Ge 0.1284 0.6284 0.5000
Ge 0.6284 0.8716 0.5000
Ge 0.8716 0.3716 0.5000
Ge 0.3716 0.1284 0.5000
Bi 0.3495 0.8495 0.0000
Bi 0.8495 0.6505 0.0000
Bi 0.6505 0.1505 0.0000
Bi 0.1505 0.3495 0.0000
In 0.0000 0.0000 0.0000
In 0.5000 0.5000 0.0000

Entry from Alexandria via LeMat-Bulk: a geometry-optimized In2GeBi structure (PBE).

Results
VASP energy in eV/atom: -3.30
Energy above the most stable polymorph in this dataset in eV/f.u.: 0.23
Symmetry: Fm-3m (225)

Unit cell a=5.3132 b=5.3132 c=5.3132 alpha=60.00 beta=60.00 gamma=60.00
Element x y z (fractional)
Ge 0.0000 0.0000 0.0000
Bi 0.5000 0.5000 0.5000
In 0.2500 0.2500 0.2500
In 0.7500 0.7500 0.7500

Number 1: density 5.96 g cm⁻³. Number 2: density 5.19 g cm⁻³. Number 3: density 6.61 g cm⁻³. Number 4: density 4.95 g cm⁻³. Number 5: density 4.90 g cm⁻³. Number 6: density 7.96 g cm⁻³. Number 7: density 7.98 g cm⁻³. Number 8: density 8.00 g cm⁻³.